## Pu2NpNb (PBE)

Data for a geometry-optimized Pu2NpNb structure.

- energy of formation (eV/atom) = 0.6237

a b c (Å): 2.917 2.917 34.800
angles (deg): 90.00 90.00 120.00
Fractional coordinates of all 12 atoms:
1 Pu 0.000 0.000 0.082
2 Pu 0.000 0.000 0.918
3 Pu 0.333 0.667 0.584
4 Pu 0.333 0.667 0.749
5 Pu 0.667 0.333 0.251
6 Pu 0.667 0.333 0.416
7 Np 0.000 0.000 0.500
8 Np 0.333 0.667 0.167
9 Np 0.667 0.333 0.833
10 Nb 0.000 0.000 0.000
11 Nb 0.333 0.667 0.667
12 Nb 0.667 0.333 0.333